Model one:
Entry from the Open Quantum Materials Database: a relaxed structure of CsPdPt (PBE).

Cell and atoms, written as POSCAR:
```
CsPdPt
1.0
4.650 0.000 0.000
0.000 5.389 0.000
0.000 0.000 12.557
Cs Pd Pt
4 4 4
Direct
0.750 0.125 0.225
0.250 0.625 0.275
0.750 0.875 0.725
0.250 0.375 0.775
0.252 0.373 0.024
0.748 0.873 0.476
0.248 0.627 0.524
0.752 0.127 0.976
0.752 0.629 0.001
0.248 0.129 0.499
0.748 0.371 0.501
0.252 0.871 0.999
```

Summary:
SG: P2_12_12_1 (19)

---

Model two:
Entry from the Open Quantum Materials Database: a relaxed structure of CsPdPt (PBE).

Cell and atoms, written as POSCAR:
```
CsPdPt
1.0
0.000 3.454 3.454
3.454 0.000 3.454
3.454 3.454 0.000
Cs Pd Pt
1 1 1
Direct
0.000 0.000 0.000
0.250 0.250 0.250
0.750 0.750 0.750
```

Summary:
SG: F-43m (216)

---

model one ends up most stable, edging out the next structure by 1267 meV/atom.

---

Model one:
Entry from the Open Quantum Materials Database: a relaxed structure of Cu4Ag (PBE).

Cell and atoms, written as POSCAR:
```
Cu4Ag
1.0
4.230 -1.833 0.000
4.230 1.833 0.000
-0.203 0.000 8.441
Ag Cu
2 8
Direct
0.351 0.351 0.439
0.649 0.649 0.561
0.149 0.149 0.046
0.448 0.448 0.138
0.743 0.743 0.231
0.049 0.049 0.326
0.951 0.951 0.674
0.257 0.257 0.769
0.552 0.552 0.862
0.851 0.851 0.954
```

Summary:
SG: C2/m (12)

---

Model two:
Entry from the Open Quantum Materials Database: a relaxed structure of Cu4Ag (PBE).

Cell and atoms, written as POSCAR:
```
Cu4Ag
1.0
-11.822 5.956 16.469
-9.523 6.118 17.843
-10.403 8.233 16.446
Ag Cu
2 8
Direct
0.354 0.354 0.354
0.646 0.646 0.646
0.056 0.056 0.056
0.151 0.151 0.151
0.246 0.246 0.246
0.452 0.452 0.452
0.548 0.548 0.548
0.754 0.754 0.754
0.849 0.849 0.849
0.944 0.944 0.944
```

Summary:
SG: R-3m (166)

---

model one ends up most stable, edging out the next structure by 18 meV/atom.

---

Model one:
Entry from the Open Quantum Materials Database: a relaxed structure of Nd2CuSe3 (PBE).

Cell and atoms, written as POSCAR:
```
Nd2CuSe3
1.0
-2.081 10.530 -2.073
-0.995 0.558 3.832
12.746 3.082 2.862
Cu Nd Se
4 8 12
Direct
0.769 0.250 0.224
0.269 0.250 0.276
0.731 0.750 0.724
0.231 0.750 0.776
0.788 0.750 0.008
0.520 0.750 0.239
0.020 0.750 0.261
0.288 0.750 0.492
0.712 0.250 0.508
0.980 0.250 0.739
0.480 0.250 0.761
0.212 0.250 0.992
0.612 0.250 0.094
0.951 0.250 0.108
0.265 0.750 0.163
0.765 0.750 0.337
0.451 0.250 0.392
0.112 0.250 0.406
0.888 0.750 0.594
0.549 0.750 0.608
0.235 0.250 0.663
0.735 0.250 0.837
0.049 0.750 0.892
0.388 0.750 0.906
```

Summary:
SG: Pnma (62)

---

Model two:
Entry from the Open Quantum Materials Database: a relaxed structure of Nd2CuSe3 (PBE).

Cell and atoms, written as POSCAR:
```
Nd2CuSe3
1.0
2.007 -6.714 0.000
2.007 6.714 0.000
0.000 0.000 10.943
Cu Nd Se
2 4 6
Direct
0.472 0.528 0.250
0.528 0.472 0.750
0.000 0.000 0.000
0.764 0.236 0.250
0.000 0.000 0.500
0.236 0.764 0.750
0.351 0.649 0.079
0.088 0.912 0.250
0.351 0.649 0.421
0.649 0.351 0.579
0.912 0.088 0.750
0.649 0.351 0.921
```

Summary:
SG: Cmcm (63)

---

model one ends up most stable, edging out the next structure by 6 meV/atom.

---

Model one:
Entry from the Open Quantum Materials Database: a relaxed structure of TmBiAsO (PBE).

Cell and atoms, written as POSCAR:
```
TmBiAsO
1.0
-3.402 2.611 -2.213
0.333 -3.962 -5.186
-4.556 -3.754 2.575
As Bi O Tm
2 2 2 2
Direct
0.000 0.307 0.394
0.000 0.693 0.894
0.000 0.742 0.428
0.000 0.258 0.928
0.500 0.868 0.381
0.500 0.132 0.881
0.500 0.857 0.051
0.500 0.143 0.551
```

Summary:
SG: Pmc2_1 (26)

---

Model two:
Entry from the Open Quantum Materials Database: a relaxed structure of TmBiAsO (PBE).

Cell and atoms, written as POSCAR:
```
TmBiAsO
1.0
3.879 0.000 0.000
0.000 8.398 0.000
0.000 0.000 6.010
As Bi O Tm
2 2 2 2
Direct
0.000 0.319 0.432
0.000 0.681 0.932
0.500 0.082 0.463
0.500 0.918 0.963
0.500 0.751 0.427
0.500 0.249 0.927
0.000 0.661 0.432
0.000 0.339 0.932
```

Summary:
SG: Pmc2_1 (26)

---

model two ends up most stable, edging out the next structure by 78 meV/atom.

---

Model one:
Entry from the Open Quantum Materials Database: a relaxed structure of AcNpCd (PBE).

Cell and atoms, written as POSCAR:
```
AcNpCd
1.0
0.000 3.731 3.731
3.731 0.000 3.731
3.731 3.731 0.000
Ac Cd Np
1 1 1
Direct
0.000 0.000 0.000
0.250 0.250 0.250
0.750 0.750 0.750
```

Summary:
SG: F-43m (216)

---

Model two:
Entry from the Open Quantum Materials Database: a relaxed structure of AcNpCd (PBE).

Cell and atoms, written as POSCAR:
```
AcNpCd
1.0
0.000 3.700 3.700
3.700 0.000 3.700
3.700 3.700 0.000
Ac Cd Np
1 1 1
Direct
0.500 0.500 0.500
0.000 0.000 0.000
0.250 0.250 0.250
```

Summary:
SG: F-43m (216)

---

model two ends up most stable, edging out the next structure by 152 meV/atom.

---

Model one:
Entry from the Open Quantum Materials Database: a relaxed structure of Pr2Nd2C2Br5 (PBE).

Cell and atoms, written as POSCAR:
```
Pr2Nd2C2Br5
1.0
-1.941 1.012 9.737
-5.226 -0.758 8.468
4.104 -7.180 -0.615
Br C Nd Pr
5 2 2 2
Direct
0.500 0.500 0.000
0.841 0.841 0.126
0.166 0.166 0.330
0.834 0.834 0.670
0.159 0.159 0.874
0.463 0.463 0.476
0.537 0.537 0.524
0.000 0.000 0.298
0.000 0.000 0.702
0.342 0.342 0.396
0.658 0.658 0.604
```

Summary:
SG: C2/m (12)

---

Model two:
Entry from the Open Quantum Materials Database: a relaxed structure of Pr2Nd2C2Br5 (PBE).

Cell and atoms, written as POSCAR:
```
Pr2Nd2C2Br5
1.0
9.785 -1.982 0.000
9.785 1.982 0.000
-2.121 0.000 8.039
Br C Nd Pr
5 2 2 2
Direct
0.500 0.500 0.000
0.839 0.839 0.131
0.168 0.168 0.336
0.832 0.832 0.664
0.161 0.161 0.869
0.463 0.463 0.476
0.537 0.537 0.524
0.344 0.344 0.397
0.656 0.656 0.603
0.000 0.000 0.297
0.000 0.000 0.703
```

Summary:
SG: C2/m (12)

---

model two ends up most stable, edging out the next structure by 11 meV/atom.

---

Model one:
Entry from the Open Quantum Materials Database: a relaxed structure of ErAuSeO (PBE).

Cell and atoms, written as POSCAR:
```
ErAuSeO
1.0
-8.709 -1.312 3.556
2.197 -1.242 4.923
-0.215 5.337 1.443
Au Er O Se
4 4 4 4
Direct
0.497 0.250 0.000
0.503 0.750 0.000
0.497 0.250 0.500
0.503 0.750 0.500
0.115 0.500 0.250
0.885 0.000 0.250
0.115 0.000 0.750
0.885 0.500 0.750
0.000 0.250 0.000
0.000 0.750 0.000
0.000 0.250 0.500
0.000 0.750 0.500
0.719 0.498 0.250
0.281 0.998 0.250
0.719 0.002 0.750
0.281 0.502 0.750
```

Summary:
SG: Pbcm (57)

---

Model two:
Entry from the Open Quantum Materials Database: a relaxed structure of ErAuSeO (PBE).

Cell and atoms, written as POSCAR:
```
ErAuSeO
1.0
-2.091 4.843 2.117
-3.134 0.694 -4.683
-8.100 -5.964 4.538
Au Er O Se
4 4 4 4
Direct
0.997 0.342 0.270
0.684 0.596 0.497
0.316 0.096 0.503
0.003 0.842 0.730
0.006 0.819 0.092
0.507 0.320 0.092
0.493 0.820 0.908
0.994 0.319 0.908
0.748 0.069 0.000
0.249 0.069 0.002
0.751 0.569 0.998
0.252 0.569 0.000
0.691 0.645 0.277
0.303 0.041 0.285
0.697 0.541 0.715
0.309 0.145 0.723
```

Summary:
SG: P2_1 (4)

---

model two ends up most stable, edging out the next structure by 97 meV/atom.

---

Model one:
Entry from the Open Quantum Materials Database: a relaxed structure of Cu2Ag (PBE).

Cell and atoms, written as POSCAR:
```
Cu2Ag
1.0
-1.379 1.379 16.425
1.379 -1.379 16.425
1.379 1.379 -16.425
Ag Cu
3 6
Direct
0.383 0.383 0.000
0.500 0.500 0.000
0.617 0.617 0.000
0.059 0.059 0.000
0.177 0.177 0.000
0.275 0.275 0.000
0.725 0.725 0.000
0.823 0.823 0.000
0.941 0.941 0.000
```

Summary:
SG: I4/mmm (139)

---

Model two:
Entry from the Open Quantum Materials Database: a relaxed structure of Cu2Ag (PBE).

Cell and atoms, written as POSCAR:
```
Cu2Ag
1.0
4.537 -1.385 0.000
4.537 1.385 0.000
-4.295 0.000 9.977
Ag Cu
3 6
Direct
0.665 0.665 0.210
0.334 0.334 0.454
0.668 0.668 0.892
0.350 0.350 0.116
0.003 0.003 0.337
0.661 0.661 0.564
0.003 0.003 0.672
0.333 0.333 0.768
0.984 0.984 0.987
```

Summary:
SG: Cm (8)

---

model one ends up most stable, edging out the next structure by 15 meV/atom.

---

Model one:
Entry from the Open Quantum Materials Database: a relaxed structure of BaErOs (PBE).

Cell and atoms, written as POSCAR:
```
BaErOs
1.0
-1.451 -0.240 4.755
-3.745 -3.005 1.310
0.915 -4.094 2.677
Ba Er Os
1 1 1
Direct
0.250 0.250 0.250
0.750 0.750 0.750
0.000 0.000 0.000
```

Summary:
SG: F-43m (216)

---

Model two:
Entry from the Open Quantum Materials Database: a relaxed structure of BaErOs (PBE).

Cell and atoms, written as POSCAR:
```
BaErOs
1.0
-4.514 1.056 1.529
-3.679 0.192 -3.203
-3.441 -3.463 0.025
Ba Er Os
1 1 1
Direct
0.000 0.000 0.000
0.250 0.250 0.250
0.750 0.750 0.750
```

Summary:
SG: F-43m (216)

---

model one ends up most stable, edging out the next structure by 1049 meV/atom.

---

Model one:
Entry from the Open Quantum Materials Database: a relaxed structure of ZrAlNiC (PBE).

Cell and atoms, written as POSCAR:
```
ZrAlNiC
1.0
-2.888 1.816 -1.544
0.628 -3.591 -0.858
-5.692 -2.764 7.395
Al C Ni Zr
2 2 2 2
Direct
0.000 0.000 0.492
0.000 0.000 0.992
0.667 0.333 0.171
0.333 0.667 0.671
0.667 0.333 0.381
0.333 0.667 0.881
0.333 0.667 0.205
0.667 0.333 0.705
```

Summary:
SG: P6_3mc (186)

---

Model two:
Entry from the Open Quantum Materials Database: a relaxed structure of ZrAlNiC (PBE).

Cell and atoms, written as POSCAR:
```
ZrAlNiC
1.0
-2.205 -1.413 -1.910
3.049 0.362 -1.038
2.853 -10.730 4.644
Al C Ni Zr
2 2 2 2
Direct
0.000 0.000 0.196
0.000 0.000 0.804
0.667 0.333 0.123
0.667 0.333 0.877
0.333 0.667 0.348
0.333 0.667 0.652
0.333 0.667 0.000
0.667 0.333 0.500
```

Summary:
SG: P-6m2 (187)

---

model two ends up most stable, edging out the next structure by 69 meV/atom.

---

Model one:
Entry from the Open Quantum Materials Database: a relaxed structure of LiNbInIr (PBE).

Cell and atoms, written as POSCAR:
```
LiNbInIr
1.0
-3.100 -2.234 2.375
-3.965 -1.014 -1.868
-0.976 -4.270 -1.029
In Ir Li Nb
1 1 1 1
Direct
0.000 0.000 0.000
0.250 0.250 0.250
0.750 0.750 0.750
0.500 0.500 0.500
```

Summary:
SG: F-43m (216)

---

Model two:
Entry from the Open Quantum Materials Database: a relaxed structure of LiNbInIr (PBE).

Cell and atoms, written as POSCAR:
```
LiNbInIr
1.0
0.000 3.196 3.196
3.196 0.000 3.196
3.196 3.196 0.000
In Ir Li Nb
1 1 1 1
Direct
0.250 0.250 0.250
0.000 0.000 0.000
0.750 0.750 0.750
0.500 0.500 0.500
```

Summary:
SG: F-43m (216)

---

model one ends up most stable, edging out the next structure by 586 meV/atom.

---

Model one:
Entry from the Open Quantum Materials Database: a relaxed structure of HoBPt (PBE).

Cell and atoms, written as POSCAR:
```
HoBPt
1.0
-4.123 -0.477 -0.070
-2.371 2.039 2.729
-2.428 3.114 -1.279
B Ho Pt
1 1 1
Direct
0.000 0.000 0.000
0.250 0.250 0.250
0.750 0.750 0.750
```

Summary:
SG: F-43m (216)

---

Model two:
Entry from the Open Quantum Materials Database: a relaxed structure of HoBPt (PBE).

Cell and atoms, written as POSCAR:
```
HoBPt
1.0
2.214 1.278 3.615
-2.214 1.278 3.615
0.000 -2.556 3.615
B Ho Pt
1 1 1
Direct
0.750 0.750 0.750
0.000 0.000 0.000
0.250 0.250 0.250
```

Summary:
SG: F-43m (216)

---

model one ends up most stable, edging out the next structure by 804 meV/atom.